Record 1
First-principles (GGA-PBE) data for a geometry-optimized Ho3Al3Pd2 structure, as listed in Alexandria via LeMat-Bulk.

The space group is Pnma (No. 62) and the conventional cell measures 8.153, 15.079 and 5.553 Å, with angles of 90.00, 90.00 and 90.00 degrees. Symmetry generates all atoms from Ho at (0.038, 0.112, 0.115), Ho at (0.182, 0.250, 0.619), Al at (0.169, 0.750, 0.615), Al at (0.186, 0.034, 0.608) and Pd at (0.098, 0.607, 0.374).

The calculation puts the density of states at the Fermi level at 0.79 states/eV per atom. Its energy of formation from the pure elements is -0.70 eV per atom.

***

Record 2
First-principles (GGA-PBE) data for a geometry-optimized HoAl3Pd structure, as listed in Alexandria via LeMat-Bulk.

The space group is Pnma (No. 62) and the conventional cell measures 8.312, 4.146 and 10.947 Å, with angles of 90.00, 90.00 and 90.00 degrees. Symmetry generates all atoms from Ho at (0.184, 0.250, 0.010), Al at (0.066, 0.250, 0.589), Al at (0.110, 0.750, 0.796), Al at (0.141, 0.750, 0.215) and Pd at (0.103, 0.250, 0.359).

The calculation puts the density of states at the Fermi level at 0.47 states/eV per atom. Its energy of formation from the pure elements is -0.66 eV per atom.